[1]
Entry from Alexandria via LeMat-Bulk: a relaxed Sr4AgN2 crystal (PBE).

```
Sr4AgN2
1.0
-0.404 -1.085 -3.805
1.454 -5.722 3.557
-13.489 -2.156 2.046
Ag N Sr
2 4 8
direct
0.384 0.767 0.250
0.616 0.233 0.750
0.862 0.723 0.566
0.862 0.723 0.934
0.138 0.277 0.434
0.138 0.277 0.066
0.759 0.518 0.403
0.241 0.482 0.903
0.759 0.518 0.097
0.500 0.000 0.500
0.500 0.000 0.000
0.921 0.843 0.750
0.241 0.482 0.597
0.079 0.157 0.250
```

Summary:
relative energy among the computed polymorphs = 0.000 eV per atom
N(E_F) = 4.99 states/eV/cell
mass density = 4.46 g/cm3
M_tot = 0.00 μB/atom

=====

[2]
Entry from Alexandria via LeMat-Bulk: a relaxed Sr8Ag2N crystal (PBE).

```
Sr8Ag2N
1.0
-5.977 -1.009 -2.758
-0.111 -6.806 2.731
-0.921 4.693 8.320
Sr Ag N
8 2 1
direct
0.427 0.679 0.854
0.954 0.239 0.907
0.046 0.761 0.093
0.799 0.665 0.599
0.573 0.321 0.146
0.372 0.095 0.745
0.628 0.905 0.255
0.201 0.335 0.401
0.770 0.219 0.539
0.230 0.781 0.461
0.500 0.000 0.000
```

Summary:
relative energy among the computed polymorphs = 0.159 eV per atom
N(E_F) = 9.76 states/eV/cell
mass density = 3.55 g/cm3
M_tot = 0.00 μB/atom

=====

[3]
Entry from Alexandria via LeMat-Bulk: a relaxed Sr2AgN crystal (PBE).

```
Sr2AgN
1.0
3.880 0.000 0.000
1.940 3.360 0.000
1.940 1.120 7.836
Sr N Ag
2 1 1
direct
0.275 0.275 0.175
0.058 0.058 0.825
0.666 0.666 0.001
0.500 0.500 0.500
```

Summary:
VASP energy = -16.195 eV/cell
N(E_F) = 0.69 states/eV/cell
mass density = 4.83 g/cm3
M_tot = 0.00 μB/atom